First-principles (PBE) data for a geometry-optimized CuGePb structure, as listed in OQMD via LeMat-Bulk.

Structure (POSCAR):
```
CuGePb
1.0
-1.909 -2.298 -3.603
-3.872 1.654 -2.044
0.220 1.809 -4.311
Pb Ge Cu
1 1 1
Direct
0.000 0.000 0.000
0.750 0.750 0.750
0.250 0.250 0.250
```

VASP energy ... -0.127 Ha/atom

---

First-principles (PBE) data for a geometry-optimized CuGePb2 structure, as listed in OQMD via LeMat-Bulk.

Structure (POSCAR):
```
CuGePb2
1.0
0.000 3.633 3.633
3.633 0.000 3.633
3.633 3.633 0.000
Pb Cu Ge
2 1 1
Direct
0.750 0.750 0.750
0.000 0.000 0.000
0.250 0.250 0.250
0.500 0.500 0.500
```

VASP energy ... -0.129 Ha/atom

---

First-principles (PBE) data for a geometry-optimized Cu2Ge2Pb3 structure, as listed in OQMD via LeMat-Bulk.

Structure (POSCAR):
```
Cu2Ge2Pb3
1.0
6.570 -4.640 3.426
7.849 0.055 3.849
4.764 -1.936 7.070
Pb Cu Ge
3 2 2
Direct
0.624 0.624 0.624
0.867 0.867 0.867
0.386 0.386 0.386
0.240 0.240 0.240
0.749 0.749 0.749
0.007 0.007 0.007
0.501 0.501 0.501
```

VASP energy ... -0.130 Ha/atom

---

First-principles (PBE) data for a geometry-optimized Cu2Ge3Pb2 structure, as listed in OQMD via LeMat-Bulk.

Structure (POSCAR):
```
Cu2Ge3Pb2
1.0
-7.112 3.991 3.991
-3.991 3.991 7.112
-3.991 7.112 3.991
Ge Pb Cu
3 2 2
Direct
0.611 0.611 0.611
0.882 0.882 0.882
0.332 0.332 0.332
0.055 0.055 0.055
0.482 0.482 0.482
0.239 0.239 0.239
0.773 0.773 0.773
```

VASP energy ... -0.141 Ha/atom

---

First-principles (PBE) data for a geometry-optimized Cu2GePbS4 structure, as listed in OQMD via LeMat-Bulk.

Structure (POSCAR):
```
Cu2GePbS4
1.0
-8.521 -4.458 -2.395
2.591 -5.389 0.813
-2.473 1.966 5.141
S Cu Pb Ge
8 4 2 2
Direct
0.944 0.902 0.507
0.750 0.353 0.346
0.250 0.971 0.719
0.056 0.507 0.902
0.444 0.507 0.902
0.250 0.346 0.353
0.556 0.902 0.507
0.750 0.719 0.971
0.588 0.317 0.592
0.412 0.592 0.317
0.088 0.592 0.317
0.912 0.317 0.592
0.500 0.000 0.000
0.000 0.000 0.000
0.250 0.339 0.726
0.750 0.726 0.339
```

VASP energy ... -0.160 Ha/atom

---

First-principles (PBE) data for a geometry-optimized Cu2GePd structure, as listed in OQMD via LeMat-Bulk.

Structure (POSCAR):
```
Cu2GePd
1.0
-2.641 3.242 0.865
-0.264 3.313 -2.681
-3.520 0.571 -2.349
Ge Pd Cu
1 1 2
Direct
0.500 0.500 0.500
0.250 0.250 0.250
0.750 0.750 0.750
0.000 0.000 0.000
```

VASP energy ... -0.163 Ha/atom

---

First-principles (PBE) data for a geometry-optimized CuGe2Pd structure, as listed in OQMD via LeMat-Bulk.

Structure (POSCAR):
```
CuGe2Pd
1.0
0.000 3.155 3.155
3.155 0.000 3.155
3.155 3.155 0.000
Ge Cu Pd
2 1 1
Direct
0.750 0.750 0.750
0.000 0.000 0.000
0.250 0.250 0.250
0.500 0.500 0.500
```

VASP energy ... -0.163 Ha/atom

---

First-principles (PBE) data for a geometry-optimized CuGe5Pd3 structure, as listed in OQMD via LeMat-Bulk.

Structure (POSCAR):
```
CuGe5Pd3
1.0
-2.109 3.579 -3.254
-2.826 -4.200 1.492
-2.367 3.509 5.393
Cu Ge Pd
1 5 3
Direct
0.000 0.000 0.000
0.667 0.333 0.815
0.333 0.667 0.185
0.333 0.667 0.815
0.667 0.333 0.185
0.000 0.000 0.500
0.500 0.500 0.500
0.000 0.500 0.500
0.500 0.000 0.500
```

VASP energy ... -0.168 Ha/atom

---

First-principles (PBE) data for a geometry-optimized Pr2CuGe2Pd structure, as listed in OQMD via LeMat-Bulk.

Structure (POSCAR):
```
Pr2CuGe2Pd
1.0
4.313 0.000 0.000
-2.157 3.736 0.000
0.000 0.000 8.264
Pd Ge Cu Pr
1 2 1 2
Direct
0.667 0.333 0.500
0.667 0.333 0.000
0.000 0.000 0.500
0.000 0.000 0.000
0.333 0.667 0.750
0.333 0.667 0.250
```

Total magnetization ... 0.00 μB/f.u.
VASP energy ... -0.198 Ha/atom

---

First-principles (PBE) data for a geometry-optimized CuGePdPt structure, as listed in OQMD via LeMat-Bulk.

Structure (POSCAR):
```
CuGePdPt
1.0
0.000 3.091 3.091
3.091 0.000 3.091
3.091 3.091 0.000
Pt Pd Ge Cu
1 1 1 1
Direct
0.250 0.250 0.250
0.500 0.500 0.500
0.000 0.000 0.000
0.750 0.750 0.750
```

Total magnetization ... 0.00 μB/f.u.
Relative energy among the computed polymorphs ... 0 meV/atom
VASP energy ... -0.185 Ha/atom

---

First-principles (PBE) data for a geometry-optimized ScCuGePd structure, as listed in OQMD via LeMat-Bulk.

Structure (POSCAR):
```
ScCuGePd
1.0
0.070 -4.293 -1.234
-1.221 -3.176 2.894
-3.833 -2.215 -0.600
Ge Sc Pd Cu
1 1 1 1
Direct
0.250 0.250 0.250
0.000 0.000 0.000
0.500 0.500 0.500
0.750 0.750 0.750
```

Total magnetization ... 0.00 μB/f.u.
Relative energy among the computed polymorphs ... 15 meV/atom
VASP energy ... -0.202 Ha/atom

---

First-principles (PBE) data for a geometry-optimized ScCuGePd structure, as listed in OQMD via LeMat-Bulk.

Structure (POSCAR):
```
ScCuGePd
1.0
0.000 3.177 3.177
3.177 0.000 3.177
3.177 3.177 0.000
Pd Cu Sc Ge
1 1 1 1
Direct
0.500 0.500 0.500
0.750 0.750 0.750
0.250 0.250 0.250
0.000 0.000 0.000
```

Total magnetization ... 0.00 μB/f.u.
Relative energy among the computed polymorphs ... 75 meV/atom
VASP energy ... -0.200 Ha/atom

---

First-principles (PBE) data for a geometry-optimized ScCuGePd structure, as listed in OQMD via LeMat-Bulk.

Structure (POSCAR):
```
ScCuGePd
1.0
0.000 3.158 3.158
3.158 0.000 3.158
3.158 3.158 0.000
Sc Cu Ge Pd
1 1 1 1
Direct
0.500 0.500 0.500
0.750 0.750 0.750
0.000 0.000 0.000
0.250 0.250 0.250
```

Total magnetization ... 0.00 μB/f.u.
Relative energy among the computed polymorphs ... 0 meV/atom
VASP energy ... -0.203 Ha/atom

---

First-principles (PBE) data for a geometry-optimized SrCuGe2Pd structure, as listed in OQMD via LeMat-Bulk.

Structure (POSCAR):
```
SrCuGe2Pd
1.0
-4.711 -0.023 3.704
-5.450 -0.717 -2.389
5.344 -2.692 -0.341
Ge Pd Sr Cu
2 1 1 1
Direct
0.623 0.123 0.500
0.877 0.377 0.500
0.500 0.500 0.000
0.250 0.750 0.500
0.000 0.000 0.000
```

VASP energy ... -0.165 Ha/atom

---

First-principles (PBE) data for a geometry-optimized TbCuGe2Pd structure, as listed in OQMD via LeMat-Bulk.

Structure (POSCAR):
```
TbCuGe2Pd
1.0
3.325 -4.678 1.554
-2.025 -3.999 3.907
-1.817 2.777 -4.934
Ge Cu Pd Tb
2 1 1 1
Direct
0.619 0.619 0.000
0.381 0.381 0.000
0.250 0.750 0.500
0.750 0.250 0.500
0.000 0.000 0.000
```

Total magnetization ... 0.00 μB/f.u.
VASP energy ... -0.192 Ha/atom

---

First-principles (PBE) data for a geometry-optimized YCuGe2Pd structure, as listed in OQMD via LeMat-Bulk.

Structure (POSCAR):
```
YCuGe2Pd
1.0
-2.067 2.067 5.252
2.067 -2.067 5.252
2.067 2.067 -5.252
Cu Ge Y Pd
1 2 1 1
Direct
0.000 0.000 0.000
0.133 0.633 0.500
0.367 0.867 0.500
0.750 0.250 0.500
0.500 0.500 0.000
```

Total magnetization ... 0.00 μB/f.u.
VASP energy ... -0.205 Ha/atom

---

First-principles (PBE) data for a geometry-optimized ZrCuGePd structure, as listed in OQMD via LeMat-Bulk.

Structure (POSCAR):
```
ZrCuGePd
1.0
0.000 3.198 3.198
3.198 0.000 3.198
3.198 3.198 0.000
Pd Cu Zr Ge
1 1 1 1
Direct
0.500 0.500 0.500
0.750 0.750 0.750
0.250 0.250 0.250
0.000 0.000 0.000
```

Total magnetization ... 0.00 μB/f.u.
Relative energy among the computed polymorphs ... 0 meV/atom
VASP energy ... -0.218 Ha/atom

---

First-principles (PBE) data for a geometry-optimized ZrCuGePd structure, as listed in OQMD via LeMat-Bulk.

Structure (POSCAR):
```
ZrCuGePd
1.0
1.641 1.193 4.030
-2.819 1.015 3.373
-0.406 -2.795 3.519
Zr Pd Cu Ge
1 1 1 1
Direct
0.500 0.500 0.500
0.250 0.250 0.250
0.750 0.750 0.750
0.000 0.000 0.000
```

Total magnetization ... 0.00 μB/f.u.
Relative energy among the computed polymorphs ... 2 meV/atom
VASP energy ... -0.218 Ha/atom

---

First-principles (PBE) data for a geometry-optimized Pm3Cu4Ge4 structure, as listed in OQMD via LeMat-Bulk.

Structure (POSCAR):
```
Pm3Cu4Ge4
1.0
-1.355 -1.937 3.413
-3.296 -1.467 -2.143
8.700 -8.157 -3.698
Cu Pm Ge
4 3 4
Direct
0.597 0.096 0.193
0.403 0.904 0.807
0.251 0.251 0.500
0.749 0.749 0.500
0.848 0.348 0.697
0.152 0.652 0.303
0.000 0.000 0.000
0.553 0.552 0.104
0.447 0.448 0.896
0.305 0.806 0.611
0.695 0.194 0.389
```

Total magnetization ... 0.00 μB/f.u.
VASP energy ... -0.181 Ha/atom

---

First-principles (PBE) data for a geometry-optimized PmCu2Ge2 structure, as listed in OQMD via LeMat-Bulk.

Structure (POSCAR):
```
PmCu2Ge2
1.0
4.186 0.000 0.000
0.000 4.186 0.000
0.000 0.000 10.076
Cu Ge Pm
4 4 2
Direct
0.000 0.000 0.000
0.500 0.000 0.368
0.000 0.500 0.632
0.500 0.500 0.000
0.500 0.500 0.500
0.000 0.500 0.870
0.500 0.000 0.130
0.000 0.000 0.500
0.500 0.000 0.754
0.000 0.500 0.246
```

Total magnetization ... 0.00 μB/f.u.
VASP energy ... -0.176 Ha/atom

---

First-principles (PBE) data for a geometry-optimized Pr3Cu2Ge4 structure, as listed in OQMD via LeMat-Bulk.

Structure (POSCAR):
```
Pr3Cu2Ge4
1.0
0.086 4.541 -3.907
-3.906 3.536 -2.851
0.829 4.285 7.212
Ge Cu Pr
4 2 3
Direct
0.286 0.286 0.938
0.062 0.062 0.387
0.714 0.714 0.062
0.938 0.938 0.613
0.610 0.610 0.284
0.390 0.390 0.716
0.339 0.339 0.333
0.661 0.661 0.667
0.000 0.000 0.000
```

Total magnetization ... 0.02 μB/f.u.
VASP energy ... -0.191 Ha/atom

---

First-principles (PBE) data for a geometry-optimized Pr4Cu3Ge structure, as listed in OQMD via LeMat-Bulk.

Structure (POSCAR):
```
Pr4Cu3Ge
1.0
-0.715 5.857 0.635
-2.165 0.151 -3.829
-6.520 -1.229 3.639
Pr Cu Ge
4 3 1
Direct
0.631 0.000 0.172
0.861 0.000 0.677
0.364 0.500 0.817
0.131 0.500 0.330
0.877 0.500 0.965
0.620 0.500 0.466
0.385 0.000 0.533
0.131 0.000 0.041
```

Total magnetization ... 0.11 μB/f.u.
VASP energy ... -0.172 Ha/atom

---

First-principles (PBE) data for a geometry-optimized PrCuGeS3 structure, as listed in OQMD via LeMat-Bulk.

Structure (POSCAR):
```
PrCuGeS3
1.0
3.572 5.421 0.008
-5.365 -2.867 2.267
5.519 -3.648 8.450
Ge Cu S Pr
2 2 6 2
Direct
0.268 0.732 0.750
0.732 0.268 0.250
0.026 0.974 0.250
0.974 0.026 0.750
0.150 0.850 0.412
0.850 0.150 0.912
0.588 0.412 0.750
0.850 0.150 0.588
0.150 0.850 0.088
0.412 0.588 0.250
0.500 0.500 0.000
0.500 0.500 0.500
```

Total magnetization ... 0.00 μB/f.u.
VASP energy ... -0.188 Ha/atom

---

First-principles (PBE) data for a geometry-optimized PrCuGeSeS2 structure, as listed in OQMD via LeMat-Bulk.

Structure (POSCAR):
```
PrCuGeSeS2
1.0
1.945 -6.354 0.000
1.945 6.354 0.000
0.000 0.000 10.928
Cu S Ge Pr Se
2 4 2 2 2
Direct
0.471 0.529 0.750
0.529 0.471 0.250
0.644 0.356 0.413
0.356 0.644 0.913
0.644 0.356 0.087
0.356 0.644 0.587
0.782 0.218 0.750
0.218 0.782 0.250
0.000 0.000 0.000
0.000 0.000 0.500
0.097 0.903 0.750
0.903 0.097 0.250
```

Total magnetization ... 0.00 μB/f.u.
VASP energy ... -0.184 Ha/atom

---

First-principles (PBE) data for a geometry-optimized PrCuGeTeS2 structure, as listed in OQMD via LeMat-Bulk.

Structure (POSCAR):
```
PrCuGeTeS2
1.0
1.989 -6.621 0.000
1.989 6.621 0.000
0.000 0.000 11.257
Pr Te S Cu Ge
2 2 4 2 2
Direct
0.000 0.000 0.500
0.000 0.000 0.000
0.884 0.116 0.750
0.116 0.884 0.250
0.367 0.633 0.092
0.367 0.633 0.408
0.633 0.367 0.592
0.633 0.367 0.908
0.479 0.521 0.250
0.521 0.479 0.750
0.202 0.798 0.750
0.798 0.202 0.250
```

Total magnetization ... 0.00 μB/f.u.
VASP energy ... -0.179 Ha/atom

---

First-principles (PBE) data for a geometry-optimized PrCuGeSe3 structure, as listed in OQMD via LeMat-Bulk.

Structure (POSCAR):
```
PrCuGeSe3
1.0
10.997 0.000 0.000
0.000 1.991 6.581
0.000 -1.991 6.581
Se Ge Cu Pr
6 2 2 2
Direct
0.333 0.652 0.652
0.000 0.090 0.090
0.667 0.652 0.652
0.833 0.348 0.348
0.500 0.910 0.910
0.167 0.348 0.348
0.500 0.226 0.226
0.000 0.774 0.774
0.000 0.473 0.473
0.500 0.527 0.527
0.250 0.000 0.000
0.750 0.000 0.000
```

Total magnetization ... 0.00 μB/f.u.
VASP energy ... -0.174 Ha/atom